! AcMoO3, optimized geometry, DFT GGA+U; values from VASP
! VASP energy   -38.119 eV for the cell shown
! M_tot   0.60 μB/atom
! Space-group type   No. 221
&SYSTEM
  ibrav = 0, nat = 5, ntyp = 3
/
ATOMIC_SPECIES
Ac 227.00 Ac.upf
Mo 95.94 Mo.upf
O 16.00 O.upf
CELL_PARAMETERS angstrom
4.182 0.000 0.000
0.000 4.182 0.000
0.000 0.000 4.182
ATOMIC_POSITIONS angstrom
Ac 0.000 0.000 0.000
Mo 2.091 2.091 2.091
O 0.000 2.091 2.091
O 2.091 0.000 2.091
O 2.091 2.091 0.000